First-principles (PBE) data for a geometry-optimized CaErMg2Hg4 structure, as listed in Alexandria via LeMat-Bulk.

Cell lengths 8.8748, 8.8748, 8.8748 Å; angles 33.16, 33.16, 33.16 degrees
With the nearest neighbours (Å) after each atom.
Sites, in units of the cell vectors:
Ca 0.0000 0.0000 0.0000  8 Hg 3.12-3.16
Er 0.5000 0.5000 0.5000  8 Hg 3.09-3.10
Mg 0.2495 0.2495 0.2495  8 Hg 3.09-3.21
Mg 0.7505 0.7505 0.7505  8 Hg 3.09-3.21
Hg 0.1259 0.1259 0.1259  3 Er 3.10, 4 Mg 3.11, 1 Ca 3.16
Hg 0.3770 0.3770 0.3770  1 Er 3.09, 4 Mg 3.09-3.21, 3 Ca 3.12
Hg 0.6230 0.6230 0.6230  1 Er 3.09, 4 Mg 3.09-3.21, 3 Ca 3.12
Hg 0.8741 0.8741 0.8741  3 Er 3.10, 4 Mg 3.11, 1 Ca 3.16

Calculated total energy in eV/atom: -1.802
Formation enthalpy at 0 K in meV per atom: -431

=====

First-principles (PBE) data for a geometry-optimized CaEr2MgHg4 structure, as listed in Alexandria via LeMat-Bulk.

Cell lengths 8.9752, 8.9752, 8.9752 Å; angles 33.38, 33.38, 33.38 degrees
With the nearest neighbours (Å) after each atom.
Sites, in units of the cell vectors:
Ca 0.0000 0.0000 0.0000  8 Hg 3.17-3.18
Er 0.2466 0.2466 0.2466  8 Hg 3.08-3.29
Er 0.7534 0.7534 0.7534  8 Hg 3.08-3.29
Mg 0.5000 0.5000 0.5000  8 Hg 3.15-3.16
Hg 0.1252 0.1252 0.1252  4 Er 3.08-3.13, 3 Mg 3.16, 1 Ca 3.18
Hg 0.3760 0.3760 0.3760  1 Mg 3.15, 3 Ca 3.17, 4 Er 3.18-3.29
Hg 0.6240 0.6240 0.6240  1 Mg 3.15, 3 Ca 3.17, 4 Er 3.18-3.29
Hg 0.8748 0.8748 0.8748  4 Er 3.08-3.13, 3 Mg 3.16, 1 Ca 3.18

Calculated total energy in eV/atom: -2.208
Formation enthalpy at 0 K in meV per atom: -467

=====

First-principles (PBE) data for a geometry-optimized NaCaEr2Hg4 structure, as listed in Alexandria via LeMat-Bulk.

Cell lengths 9.0483, 9.0483, 9.0483 Å; angles 33.47, 33.47, 33.47 degrees
With the nearest neighbours (Å) after each atom.
Sites, in units of the cell vectors:
Na 0.0000 0.0000 0.0000  8 Hg 3.18-3.19
Ca 0.5000 0.5000 0.5000  8 Hg 3.20-3.21
Er 0.2521 0.2521 0.2521  8 Hg 3.13-3.27
Er 0.7479 0.7479 0.7479  8 Hg 3.13-3.27
Hg 0.1242 0.1242 0.1242  1 Na 3.18, 3 Ca 3.20, 4 Er 3.20-3.27
Hg 0.3744 0.3744 0.3744  4 Er 3.13-3.18, 3 Na 3.19, 1 Ca 3.21
Hg 0.6256 0.6256 0.6256  4 Er 3.13-3.18, 3 Na 3.19, 1 Ca 3.21
Hg 0.8758 0.8758 0.8758  1 Na 3.18, 3 Ca 3.20, 4 Er 3.20-3.27

Calculated total energy in eV/atom: -2.122
Formation enthalpy at 0 K in meV per atom: -415

=====

First-principles (PBE) data for a geometry-optimized CaErNiHg structure, as listed in Alexandria via LeMat-Bulk.

Cell lengths 5.0413, 5.0413, 5.0413 Å; angles 60.00, 60.00, 60.00 degrees
With the nearest neighbours (Å) after each atom.
Sites, in units of the cell vectors:
Ca 0.0000 0.0000 0.0000  4 Hg 3.09, 4 Ni 3.09
Er 0.5000 0.5000 0.5000  4 Hg 3.09, 4 Ni 3.09
Ni 0.2500 0.2500 0.2500  4 Er 3.09, 4 Ca 3.09
Hg 0.7500 0.7500 0.7500  4 Ca 3.09, 4 Er 3.09

Calculated total energy in eV/atom: -3.438
Formation enthalpy at 0 K in meV per atom: -276

=====

First-principles (PBE) data for a geometry-optimized CaEr2Hg4Pb structure, as listed in Alexandria via LeMat-Bulk.

Cell lengths 9.1066, 9.1066, 9.1066 Å; angles 33.61, 33.61, 33.61 degrees
With the nearest neighbours (Å) after each atom.
Sites, in units of the cell vectors:
Ca 0.0000 0.0000 0.0000  8 Hg 3.10-3.17
Er 0.2455 0.2455 0.2455  8 Hg 3.15-3.33
Er 0.7545 0.7545 0.7545  8 Hg 3.15-3.33
Hg 0.1204 0.1204 0.1204  1 Ca 3.10, 4 Er 3.15-3.22, 3 Pb 3.27
Hg 0.3688 0.3688 0.3688  3 Ca 3.17, 4 Er 3.18-3.33, 1 Pb 3.38, 3 Hg 3.55
Hg 0.6312 0.6312 0.6312  3 Ca 3.17, 4 Er 3.18-3.33, 1 Pb 3.38, 3 Hg 3.55
Hg 0.8796 0.8796 0.8796  1 Ca 3.10, 4 Er 3.15-3.22, 3 Pb 3.27
Pb 0.5000 0.5000 0.5000  8 Hg 3.27-3.38, 6 Er 3.66

Calculated total energy in eV/atom: -2.395
Formation enthalpy at 0 K in meV per atom: -390

=====

First-principles (PBE) data for a geometry-optimized CaPr2ErHg4 structure, as listed in Alexandria via LeMat-Bulk.

Cell lengths 9.3033, 9.3033, 9.3033 Å; angles 33.63, 33.63, 33.63 degrees
With the nearest neighbours (Å) after each atom.
Sites, in units of the cell vectors:
Ca 0.0000 0.0000 0.0000  8 Hg 3.32-3.34
Pr 0.2513 0.2513 0.2513  8 Hg 3.27-3.33
Pr 0.7487 0.7487 0.7487  8 Hg 3.27-3.33
Er 0.5000 0.5000 0.5000  8 Hg 3.23-3.28
Hg 0.1271 0.1271 0.1271  4 Pr 3.27-3.33, 3 Er 3.28, 1 Ca 3.34
Hg 0.3772 0.3772 0.3772  1 Er 3.23, 4 Pr 3.27-3.31, 3 Ca 3.32
Hg 0.6228 0.6228 0.6228  1 Er 3.23, 4 Pr 3.27-3.31, 3 Ca 3.32
Hg 0.8729 0.8729 0.8729  4 Pr 3.27-3.33, 3 Er 3.28, 1 Ca 3.34

Calculated total energy in eV/atom: -2.674
Formation enthalpy at 0 K in meV per atom: -507

=====

First-principles (PBE) data for a geometry-optimized Ca2PrErHg4 structure, as listed in Alexandria via LeMat-Bulk.

Cell lengths 9.2694, 9.2694, 9.2694 Å; angles 33.41, 33.41, 33.41 degrees
With the nearest neighbours (Å) after each atom.
Sites, in units of the cell vectors:
Ca 0.2488 0.2488 0.2488  8 Hg 3.19-3.40
Ca 0.7512 0.7512 0.7512  8 Hg 3.19-3.40
Pr 0.0000 0.0000 0.0000  8 Hg 3.30-3.34
Er 0.5000 0.5000 0.5000  8 Hg 3.19-3.25
Hg 0.1272 0.1272 0.1272  4 Ca 3.19-3.27, 3 Er 3.25, 1 Pr 3.34
Hg 0.3783 0.3783 0.3783  1 Er 3.19, 4 Ca 3.25-3.40, 3 Pr 3.30
Hg 0.6217 0.6217 0.6217  1 Er 3.19, 4 Ca 3.25-3.40, 3 Pr 3.30
Hg 0.8728 0.8728 0.8728  4 Ca 3.19-3.27, 3 Er 3.25, 1 Pr 3.34

Calculated total energy in eV/atom: -2.347
Formation enthalpy at 0 K in meV per atom: -528

=====

First-principles (PBE) data for a geometry-optimized CaErHgRh structure, as listed in Alexandria via LeMat-Bulk.

Cell lengths 5.0347, 5.0347, 5.0347 Å; angles 60.00, 60.00, 60.00 degrees
With the nearest neighbours (Å) after each atom.
Sites, in units of the cell vectors:
Ca 0.0000 0.0000 0.0000  4 Hg 3.08, 4 Rh 3.08
Er 0.5000 0.5000 0.5000  4 Rh 3.08, 4 Hg 3.08
Hg 0.2500 0.2500 0.2500  4 Er 3.08, 4 Ca 3.08
Rh 0.7500 0.7500 0.7500  4 Er 3.08, 4 Ca 3.08

Calculated total energy in eV/atom: -4.066
Formation enthalpy at 0 K in meV per atom: -512

=====

First-principles (PBE) data for a geometry-optimized CaEr2ScHg4 structure, as listed in Alexandria via LeMat-Bulk.

Cell lengths 8.9744, 8.9744, 8.9744 Å; angles 33.53, 33.53, 33.53 degrees
With the nearest neighbours (Å) after each atom.
Sites, in units of the cell vectors:
Ca 0.0000 0.0000 0.0000  8 Hg 3.20-3.23
Er 0.2497 0.2497 0.2497  8 Hg 3.11-3.27
Er 0.7503 0.7503 0.7503  8 Hg 3.11-3.27
Sc 0.5000 0.5000 0.5000  8 Hg 3.08-3.15
Hg 0.1273 0.1273 0.1273  4 Er 3.11-3.19, 3 Sc 3.15, 1 Ca 3.23
Hg 0.3787 0.3787 0.3787  1 Sc 3.08, 4 Er 3.14-3.27, 3 Ca 3.20
Hg 0.6213 0.6213 0.6213  1 Sc 3.08, 4 Er 3.14-3.27, 3 Ca 3.20
Hg 0.8727 0.8727 0.8727  4 Er 3.11-3.19, 3 Sc 3.15, 1 Ca 3.23

Calculated total energy in eV/atom: -2.817
Formation enthalpy at 0 K in meV per atom: -483

=====

First-principles (PBE) data for a geometry-optimized SrCa2ErHg4 structure, as listed in Alexandria via LeMat-Bulk.

Cell lengths 9.3857, 9.3857, 9.3857 Å; angles 33.24, 33.24, 33.24 degrees
With the nearest neighbours (Å) after each atom.
Sites, in units of the cell vectors:
Sr 0.0000 0.0000 0.0000  8 Hg 3.34-3.43
Ca 0.2492 0.2492 0.2492  8 Hg 3.20-3.49
Ca 0.7508 0.7508 0.7508  8 Hg 3.20-3.49
Er 0.5000 0.5000 0.5000  8 Hg 3.18-3.26
Hg 0.1289 0.1289 0.1289  4 Ca 3.20-3.32, 3 Er 3.26, 1 Sr 3.43
Hg 0.3803 0.3803 0.3803  1 Er 3.18, 4 Ca 3.25-3.49, 3 Sr 3.34
Hg 0.6197 0.6197 0.6197  1 Er 3.18, 4 Ca 3.25-3.49, 3 Sr 3.34
Hg 0.8711 0.8711 0.8711  4 Ca 3.20-3.32, 3 Er 3.26, 1 Sr 3.43

Calculated total energy in eV/atom: -1.950
Formation enthalpy at 0 K in meV per atom: -518

=====

First-principles (PBE) data for a geometry-optimized CaTb2ErHg4 structure, as listed in Alexandria via LeMat-Bulk.

Cell lengths 9.1351, 9.1351, 9.1351 Å; angles 33.53, 33.53, 33.53 degrees
With the nearest neighbours (Å) after each atom.
Sites, in units of the cell vectors:
Ca 0.0000 0.0000 0.0000  8 Hg 3.24-3.27
Tb 0.2512 0.2512 0.2512  8 Hg 3.20-3.25
Tb 0.7488 0.7488 0.7488  8 Hg 3.20-3.25
Er 0.5000 0.5000 0.5000  8 Hg 3.19-3.21
Hg 0.1265 0.1265 0.1265  3 Er 3.21, 4 Tb 3.22-3.25, 1 Ca 3.27
Hg 0.3767 0.3767 0.3767  1 Er 3.19, 4 Tb 3.20-3.24, 3 Ca 3.24
Hg 0.6233 0.6233 0.6233  1 Er 3.19, 4 Tb 3.20-3.24, 3 Ca 3.24
Hg 0.8735 0.8735 0.8735  3 Er 3.21, 4 Tb 3.22-3.25, 1 Ca 3.27

Calculated total energy in eV/atom: -2.643
Formation enthalpy at 0 K in meV per atom: -514

=====

First-principles (PBE) data for a geometry-optimized CaEr2TmHg4 structure, as listed in Alexandria via LeMat-Bulk.

Cell lengths 9.0618, 9.0618, 9.0618 Å; angles 33.54, 33.54, 33.54 degrees
With the nearest neighbours (Å) after each atom.
Sites, in units of the cell vectors:
Ca 0.0000 0.0000 0.0000  8 Hg 3.22-3.24
Er 0.2508 0.2508 0.2508  8 Hg 3.18-3.23
Er 0.7492 0.7492 0.7492  8 Hg 3.18-3.23
Tm 0.5000 0.5000 0.5000  8 Hg 3.16-3.19
Hg 0.1264 0.1264 0.1264  4 Er 3.19-3.22, 3 Tm 3.19, 1 Ca 3.24
Hg 0.3767 0.3767 0.3767  1 Tm 3.16, 4 Er 3.18-3.23, 3 Ca 3.22
Hg 0.6233 0.6233 0.6233  1 Tm 3.16, 4 Er 3.18-3.23, 3 Ca 3.22
Hg 0.8736 0.8736 0.8736  4 Er 3.19-3.22, 3 Tm 3.19, 1 Ca 3.24

Calculated total energy in eV/atom: -2.607
Formation enthalpy at 0 K in meV per atom: -506

=====

Please write out number 11 again, unchanged.
First-principles (PBE) data for a geometry-optimized CaTb2ErHg4 structure, as listed in Alexandria via LeMat-Bulk.

Cell lengths 9.1351, 9.1351, 9.1351 Å; angles 33.53, 33.53, 33.53 degrees
With the nearest neighbours (Å) after each atom.
Sites, in units of the cell vectors:
Ca 0.0000 0.0000 0.0000  8 Hg 3.24-3.27
Tb 0.2512 0.2512 0.2512  8 Hg 3.20-3.25
Tb 0.7488 0.7488 0.7488  8 Hg 3.20-3.25
Er 0.5000 0.5000 0.5000  8 Hg 3.19-3.21
Hg 0.1265 0.1265 0.1265  3 Er 3.21, 4 Tb 3.22-3.25, 1 Ca 3.27
Hg 0.3767 0.3767 0.3767  1 Er 3.19, 4 Tb 3.20-3.24, 3 Ca 3.24
Hg 0.6233 0.6233 0.6233  1 Er 3.19, 4 Tb 3.20-3.24, 3 Ca 3.24
Hg 0.8735 0.8735 0.8735  3 Er 3.21, 4 Tb 3.22-3.25, 1 Ca 3.27

Calculated total energy in eV/atom: -2.643
Formation enthalpy at 0 K in meV per atom: -514